Computed, not measured: an optimized crystal structure of Dy6TmAl at the GGA-PBE level of DFT.

Properties
Excess energy over the best structure of this formula in the dataset: 0.0 meV per atom
Total energy: -4.5467 eV per atom
Energy relative to the elements: -0.07 eV per atom

abc: 4.845 4.845 9.881
angles: 90.00 90.00 90.00
Element x y z (fractional)
Al: 0.000 0.000 0.500
Dy: 0.500 0.000 0.740
Dy: 0.500 0.500 0.000
Dy: 0.500 0.000 0.260
Tm: 0.000 0.000 0.000
Dy: 0.000 0.500 0.260
Dy: 0.500 0.500 0.500
Dy: 0.000 0.500 0.740

=====

Computed, not measured: an optimized crystal structure of CaBO at the GGA-PBE level of DFT.

Properties
Total energy: -6.2097 eV per atom
Formation energy (no corrections): -1.664 eV per atom

abc: 3.178 5.648 7.947
angles: 90.00 90.00 90.00
Element x y z (fractional)
B: 0.750 0.054 0.024
O: 0.750 0.792 0.383
O: 0.250 0.208 0.617
Ca: 0.250 0.596 0.188
B: 0.750 0.554 0.476
O: 0.250 0.708 0.883
Ca: 0.250 0.096 0.312
O: 0.750 0.292 0.117
Ca: 0.750 0.404 0.812
B: 0.250 0.946 0.976
Ca: 0.750 0.904 0.688
B: 0.250 0.446 0.524

=====

Computed, not measured: an optimized crystal structure of RbPtF2 at the GGA-PBE level of DFT.

Properties
Excess energy over the best structure of this formula in the dataset: 0.0 meV per atom
Total energy: -4.0646 eV per atom
Formation energy (no corrections): -1.377 eV per atom

abc: 7.860 7.860 7.860
angles: 25.03 25.03 25.03
Element x y z (fractional)
Rb: 0.500 0.500 0.500
Pt: 0.000 0.000 0.000
F: 0.912 0.912 0.912
F: 0.088 0.088 0.088

=====

Computed, not measured: an optimized crystal structure of AcMg3Rh at the GGA-PBE level of DFT.

Properties
Excess energy over the best structure of this formula in the dataset: 0.0 meV per atom
Total energy: -3.5789 eV per atom
Energy relative to the elements: -0.33 eV per atom

abc: 5.740 6.124 7.656
angles: 90.00 113.83 90.00
Element x y z (fractional)
Rh: 0.882 0.448 0.806
Ac: 0.717 0.948 0.891
Mg: 0.742 0.192 0.481
Rh: 0.153 0.948 0.755
Mg: 0.174 0.948 0.400
Ac: 0.318 0.448 0.670
Mg: 0.292 0.203 0.080
Mg: 0.292 0.692 0.080
Mg: 0.860 0.448 0.160
Mg: 0.742 0.703 0.481

=====

Computed, not measured: an optimized crystal structure of MgIn2Ni at the GGA-PBE level of DFT.

Properties
Total energy: -3.1996 eV per atom
Energy relative to the elements: 0.01 eV per atom

abc: 8.867 8.867 8.867
angles: 21.50 21.50 21.50
Element x y z (fractional)
Mg: 0.250 0.250 0.250
In: 0.012 0.012 0.012
In: 0.488 0.488 0.488
Ni: 0.750 0.750 0.750

=====

Computed, not measured: an optimized crystal structure of LuMgPdPb at the GGA-PBE level of DFT.

Properties
Total energy: -4.2297 eV per atom
Energy relative to the elements: -0.48 eV per atom

abc: 4.970 4.970 4.970
angles: 60.00 60.00 60.00
Element x y z (fractional)
Mg: 0.750 0.750 0.750
Pb: 0.500 0.500 0.500
Pd: 0.000 0.000 0.000
Lu: 0.250 0.250 0.250

=====

Computed, not measured: an optimized crystal structure of Ga3Si5Hg12 at the GGA-PBE level of DFT.

Properties
Total energy: -1.6622 eV per atom
Formation energy (no corrections): 0.329 eV per atom

abc: 13.757 13.757 13.757
angles: 109.47 109.47 109.47
Element x y z (fractional)
Hg: 0.392 0.118 0.569
Hg: 0.049 0.618 0.726
Si: 0.000 0.500 0.000
Hg: 0.569 0.951 0.677
Hg: 0.323 0.549 0.431
Si: 0.750 0.125 0.875
Hg: 0.108 0.931 0.382
Si: 0.500 0.500 0.500
Hg: 0.069 0.177 0.451
Si: 0.500 0.000 0.000
Ga: 0.750 0.875 0.625
Si: 0.875 0.625 0.750
Hg: 0.382 0.431 0.108
Ga: 0.750 0.375 0.125
Ga: 0.250 0.625 0.875
Hg: 0.431 0.049 0.323
Si: 0.750 0.625 0.375
Si: 0.500 0.000 0.500
Hg: 0.882 0.274 0.451
Si: 0.000 0.000 0.500
Hg: 0.069 0.892 0.118
Hg: 0.177 0.069 0.951
Hg: 0.323 0.774 0.392
Hg: 0.177 0.108 0.726
Ga: 0.875 0.125 0.250
Hg: 0.451 0.677 0.069
Hg: 0.549 0.323 0.931
Si: 0.875 0.250 0.625
Hg: 0.451 0.774 0.882
Hg: 0.774 0.451 0.382
Si: 0.000 0.500 0.500
Ga: 0.625 0.250 0.375
Hg: 0.226 0.677 0.108
Si: 0.250 0.875 0.125
Hg: 0.774 0.323 0.892
Hg: 0.118 0.392 0.069
Si: 0.625 0.750 0.875
Ga: 0.250 0.125 0.375
Hg: 0.608 0.882 0.431
Hg: 0.118 0.726 0.549
Ga: 0.125 0.250 0.875
Hg: 0.618 0.049 0.226
Hg: 0.618 0.569 0.892
Hg: 0.892 0.069 0.618
Hg: 0.931 0.108 0.882
Hg: 0.569 0.618 0.392
Si: 0.375 0.250 0.125
Hg: 0.823 0.931 0.049
Hg: 0.726 0.118 0.049
Hg: 0.226 0.549 0.618
Ga: 0.875 0.750 0.125
Hg: 0.382 0.951 0.774
Hg: 0.726 0.608 0.177
Hg: 0.274 0.392 0.823
Hg: 0.951 0.382 0.274
Si: 0.250 0.375 0.625
Hg: 0.931 0.823 0.549
Hg: 0.677 0.226 0.608
Si: 0.125 0.375 0.250
Hg: 0.549 0.226 0.118
Hg: 0.823 0.892 0.274
Hg: 0.049 0.431 0.823
Hg: 0.951 0.569 0.177
Ga: 0.375 0.625 0.250
Hg: 0.608 0.726 0.677
Hg: 0.392 0.274 0.323
Si: 0.500 0.500 0.000
Hg: 0.108 0.177 0.226
Ga: 0.125 0.875 0.750
Si: 0.000 0.000 0.000
Si: 0.125 0.750 0.375
Si: 0.375 0.125 0.750
Hg: 0.677 0.451 0.569
Ga: 0.625 0.375 0.750
Hg: 0.274 0.882 0.951
Si: 0.625 0.875 0.250
Ga: 0.375 0.750 0.625
Hg: 0.882 0.608 0.931
Hg: 0.892 0.823 0.774
Hg: 0.431 0.382 0.608

=====

Computed, not measured: an optimized crystal structure of Ac3Nd2PaN6 at the GGA-PBE level of DFT.

Properties
Total energy: -8.0912 eV per atom
Formation energy (no corrections): -1.315 eV per atom

abc: 6.437 6.437 6.539
angles: 99.42 99.42 119.91
Element x y z (fractional)
N: 0.376 0.072 0.216
N: 0.768 0.768 0.225
Nd: 0.667 0.333 0.000
N: 0.624 0.928 0.784
N: 0.232 0.232 0.775
Pa: 0.000 0.000 0.000
Ac: 0.168 0.832 0.500
Nd: 0.333 0.667 0.000
N: 0.072 0.376 0.216
N: 0.928 0.624 0.784
Ac: 0.500 0.500 0.500
Ac: 0.832 0.168 0.500

=====

Computed, not measured: an optimized crystal structure of Sm7Ho3Mg at the GGA-PBE level of DFT.

Properties
Total energy: -4.2105 eV per atom
Energy relative to the elements: 0.19 eV per atom

abc: 8.613 7.065 7.065
angles: 120.00 90.00 90.00
Element x y z (fractional)
Sm: 0.115 0.167 0.334
Ho: 0.784 0.501 0.002
Sm: 0.116 0.667 0.333
Ho: 0.784 0.998 0.499
Ho: 0.784 0.501 0.499
Sm: 0.115 0.666 0.833
Sm: 0.115 0.167 0.833
Sm: 0.450 0.831 0.169
Mg: 0.450 0.333 0.667
Sm: 0.450 0.831 0.662
Sm: 0.450 0.338 0.169

=====

Computed, not measured: an optimized crystal structure of PW at the GGA-PBE level of DFT.

Properties
Total energy: -9.1599 eV per atom
Energy relative to the elements: 0.02 eV per atom

abc: 9.293 9.293 3.104
angles: 90.00 90.00 120.00
Element x y z (fractional)
W: 0.504 0.858 0.750
W: 0.646 0.504 0.250
P: 0.946 0.646 0.250
P: 0.700 0.054 0.250
P: 0.054 0.354 0.750
W: 0.496 0.142 0.250
W: 0.858 0.354 0.250
W: 0.354 0.496 0.750
W: 0.142 0.646 0.750
P: 0.300 0.946 0.750
P: 0.646 0.700 0.750
P: 0.354 0.300 0.250

=====

Computed, not measured: an optimized crystal structure of K3ErTc2O8 at the GGA-PBE level of DFT.

Properties
Total energy: -6.7746 eV per atom
Formation energy (no corrections): -1.899 eV per atom

abc: 6.035 6.035 7.756
angles: 90.00 90.00 120.00
Site moments in Bohr magnetons follow the coordinates.
Element x y z (fractional)
Er: 0.000 0.000 0.500  0.09
K: 0.000 0.000 0.000  0.00
Tc: 0.333 0.667 0.223  1.34
O: 0.171 0.829 0.327  0.11
O: 0.171 0.342 0.327  0.11
O: 0.829 0.658 0.673  0.11
O: 0.667 0.333 0.005  0.08
K: 0.333 0.667 0.662  0.00
O: 0.658 0.829 0.327  0.11
O: 0.829 0.171 0.673  0.11
O: 0.342 0.171 0.673  0.11
O: 0.333 0.667 0.995  0.08
K: 0.667 0.333 0.338  0.00
Tc: 0.667 0.333 0.777  1.34

=====

Computed, not measured: an optimized crystal structure of La2VI2 at the GGA-PBE level of DFT.

Properties
Excess energy over the best structure of this formula in the dataset: 186.7 meV per atom
Total energy: -4.3820 eV per atom
Formation energy (no corrections): 0.033 eV per atom

abc: 4.924 4.924 8.394
angles: 72.94 72.94 90.00
Site moments in Bohr magnetons follow the coordinates.
Element x y z (fractional)
I: 0.250 0.750 0.500  0.01
I: 0.750 0.250 0.500  0.01
V: 0.000 0.000 0.000  2.96
La: 0.608 0.608 0.785  -0.01
La: 0.392 0.392 0.215  -0.01

=====

The lowest total energy belongs to which entry? PW

=====

Number 9 is which compound? Sm7Ho3Mg

=====

Please write out number 6 again, unchanged.
Computed, not measured: an optimized crystal structure of LuMgPdPb at the GGA-PBE level of DFT.

Properties
Total energy: -4.2297 eV per atom
Energy relative to the elements: -0.48 eV per atom

abc: 4.970 4.970 4.970
angles: 60.00 60.00 60.00
Element x y z (fractional)
Mg: 0.750 0.750 0.750
Pb: 0.500 0.500 0.500
Pd: 0.000 0.000 0.000
Lu: 0.250 0.250 0.250